(1)
VASP calculation (PBE-GGA) on crystalline Pm2ScGe4Rh3 at its relaxed geometry.

abc: 4.226 4.226 10.849
angles: 90.00 90.00 90.00
Fractional positions:
Pm: 0.000 0.500 0.236
Pm: 0.500 0.000 0.764
Sc: 0.000 0.000 0.500
Ge: 0.000 0.000 0.000
Ge: 0.000 0.500 0.655
Ge: 0.500 0.000 0.345
Ge: 0.500 0.500 0.000
Rh: 0.000 0.500 0.881
Rh: 0.500 0.000 0.119
Rh: 0.500 0.500 0.500

Summary:
The calculation puts the mass density at 8.01 g/cm³. The value obtained for the formation energy is -0.8383 eV per atom. As for the density of states at the Fermi level: 5.26 states/eV/cell.



(2)
VASP calculation (PBE-GGA) on crystalline PmScGeRh at its relaxed geometry.

abc: 4.887 4.887 4.887
angles: 60.00 60.00 60.00
Fractional positions:
Pm: 0.000 0.000 0.000
Sc: 0.500 0.500 0.500
Ge: 0.750 0.750 0.750
Rh: 0.250 0.250 0.250

Summary:
The calculation puts the mass density at 7.35 g/cm³. The value obtained for the formation energy is -0.6655 eV per atom. As for the density of states at the Fermi level: 1.99 states/eV/cell.



(3)
VASP calculation (PBE-GGA) on crystalline Pm8Ge3RhSe4 at its relaxed geometry.

abc: 8.524 8.524 8.524
angles: 59.32 59.32 59.32
Fractional positions:
Pm: 0.248 0.248 0.248
Pm: 0.249 0.743 0.743
Pm: 0.257 0.257 0.751
Pm: 0.257 0.751 0.257
Pm: 0.743 0.249 0.743
Pm: 0.743 0.743 0.249
Pm: 0.751 0.257 0.257
Pm: 0.752 0.752 0.752
Ge: 0.000 0.000 0.500
Ge: 0.000 0.500 0.000
Ge: 0.500 0.000 0.000
Rh: 0.500 0.500 0.500
Se: 0.000 0.000 0.000
Se: 0.000 0.500 0.500
Se: 0.500 0.000 0.500
Se: 0.500 0.500 0.000

Summary:
The value obtained for the formation energy from raw total energies is -1337 meV per atom. The calculation puts the mass density at 6.92 g/cm³. As for the density of states at the Fermi level: 5.04 states/eV/cell.



(4)
VASP calculation (PBE-GGA) on crystalline Pm2Si4GeRh3 at its relaxed geometry.

abc: 4.219 4.219 9.864
angles: 90.00 90.00 90.00
Fractional positions:
Pm: 0.000 0.500 0.243
Pm: 0.500 0.000 0.757
Si: 0.000 0.000 0.000
Si: 0.000 0.500 0.642
Si: 0.500 0.000 0.358
Si: 0.500 0.500 0.000
Ge: 0.000 0.000 0.500
Rh: 0.000 0.500 0.880
Rh: 0.500 0.000 0.120
Rh: 0.500 0.500 0.500

Summary:
The value obtained for the formation energy from raw total energies is -868 meV per atom. The calculation puts the mass density at 7.41 g/cm³. As for the density of states at the Fermi level: 3.46 states/eV/cell.



(5)
VASP calculation (PBE-GGA) on crystalline PmSiGeRh2 at its relaxed geometry.

abc: 4.143 4.143 6.481
angles: 90.00 90.00 90.00
Fractional positions:
Pm: 0.000 0.000 0.000
Si: 0.000 0.000 0.542
Ge: 0.500 0.500 0.152
Rh: 0.000 0.500 0.368
Rh: 0.500 0.000 0.368

Summary:
The value obtained for the formation energy from raw total energies is -598 meV per atom. The calculation puts the mass density at 6.74 g/cm³. As for the density of states at the Fermi level: 2.24 states/eV/cell.



(6)
VASP calculation (PBE-GGA) on crystalline Pm3Si2GeRh9 at its relaxed geometry.

abc: 6.416 6.416 7.807
angles: 90.00 90.00 120.00
Fractional positions:
Pm: 0.000 0.000 0.000
Pm: 0.333 0.667 0.666
Pm: 0.667 0.333 0.334
Si: 0.333 0.667 0.160
Si: 0.667 0.333 0.840
Ge: 0.000 0.000 0.500
Rh: 0.000 0.500 0.000
Rh: 0.172 0.344 0.332
Rh: 0.172 0.828 0.332
Rh: 0.344 0.172 0.668
Rh: 0.500 0.000 0.000
Rh: 0.500 0.500 0.000
Rh: 0.656 0.828 0.332
Rh: 0.828 0.172 0.668
Rh: 0.828 0.656 0.668

Summary:
The value obtained for the formation energy from raw total energies is -577 meV per atom. The calculation puts the mass density at 8.89 g/cm³. As for the density of states at the Fermi level: 1.27 states/eV/cell.



Total moment
In order: 0.00 0.00 0.00 0.00 0.00 0.00
Unit: μB per formula unit
VASP energy
In order: -64.7 -25.7 -94.5 -66.5 -32.5 -104.5
Unit: eV for the cell shown